ZrSiIr3: optimized geometry, GGA-PBE.

a b c (Å): 4.445 4.445 4.445
angles (deg): 90.00 90.00 90.00
Atoms (fractional coordinates):
Zr 0.000 0.000 0.000
Si 0.500 0.500 0.500
Ir 0.000 0.500 0.500
Ir 0.500 0.000 0.500
Ir 0.500 0.500 0.000

Calculated values
As for the space-group type: Pm-3m. For the distance to the lowest polymorph of the same formula, the calculation gives 0 meV/atom. Its final energy is -40.4 eV per cell.

=====

ZrSi3Ir: optimized geometry, GGA-PBE.

a b c (Å): 4.643 4.643 4.643
angles (deg): 90.00 90.00 90.00
Atoms (fractional coordinates):
Zr 0.000 0.000 0.000
Si 0.000 0.500 0.500
Si 0.500 0.000 0.500
Si 0.500 0.500 0.000
Ir 0.500 0.500 0.500

Calculated values
As for the space-group type: Pm-3m. For the distance to the lowest polymorph of the same formula, the calculation gives 0 meV/atom. Its final energy is -31.0 eV per cell.

=====

ZrSiIr2: optimized geometry, GGA-PBE.

a b c (Å): 2.931 2.931 7.136
angles (deg): 90.00 90.00 90.00
Atoms (fractional coordinates):
Zr 0.000 0.000 0.000
Si 0.000 0.000 0.500
Ir 0.500 0.500 0.296
Ir 0.500 0.500 0.704

Calculated values
As for the space-group type: P4/mmm. Its final energy is -34.8 eV per cell.

=====

ZrSi2Ir: optimized geometry, GGA-PBE.

a b c (Å): 7.702 2.977 5.756
angles (deg): 90.00 99.90 90.00
Atoms (fractional coordinates):
Zr 0.000 0.000 0.000
Zr 0.500 0.500 0.000
Si 0.241 0.000 0.695
Si 0.259 0.500 0.305
Si 0.741 0.500 0.695
Si 0.759 0.000 0.305
Ir 0.000 0.500 0.500
Ir 0.500 0.000 0.500

Calculated values
As for the space-group type: C2/m. Its final energy is -61.2 eV per cell.

=====

Zr4Si6Ir7: optimized geometry, GGA-PBE.

a b c (Å): 7.025 7.025 7.025
angles (deg): 109.47 109.47 109.47
Atoms (fractional coordinates):
Zr 0.000 0.000 0.500
Zr 0.000 0.500 0.000
Zr 0.500 0.000 0.000
Zr 0.500 0.500 0.500
Si 0.000 0.319 0.319
Si 0.000 0.681 0.681
Si 0.319 0.000 0.319
Si 0.319 0.319 0.000
Si 0.681 0.000 0.681
Si 0.681 0.681 0.000
Ir 0.000 0.000 0.000
Ir 0.250 0.500 0.750
Ir 0.250 0.750 0.500
Ir 0.500 0.250 0.750
Ir 0.500 0.750 0.250
Ir 0.750 0.250 0.500
Ir 0.750 0.500 0.250

Calculated values
As for the space-group type: Im-3m. Its final energy is -145.6 eV per cell.

=====

ZrSi2Ir: optimized geometry, GGA-PBE.

a b c (Å): 2.970 3.484 6.053
angles (deg): 90.00 90.00 90.00
Atoms (fractional coordinates):
Zr 0.000 0.000 0.000
Si 0.000 0.000 0.511
Si 0.500 0.500 0.742
Ir 0.500 0.500 0.334

Calculated values
As for the space-group type: Pmm2. Its final energy is -30.5 eV per cell.

=====

ZrSiIr2: optimized geometry, GGA-PBE.

a b c (Å): 3.849 3.859 8.475
angles (deg): 90.00 90.00 90.00
Atoms (fractional coordinates):
Zr 0.000 0.000 0.000
Zr 0.500 0.500 0.500
Si 0.000 0.500 0.250
Si 0.500 0.000 0.750
Ir 0.000 0.000 0.501
Ir 0.000 0.500 0.750
Ir 0.500 0.000 0.250
Ir 0.500 0.500 0.001

Calculated values
As for the space-group type: Imm2. Its final energy is -68.0 eV per cell.

=====

ZrSi2Ir: optimized geometry, GGA-PBE.

a b c (Å): 4.095 4.095 3.691
angles (deg): 90.00 90.00 90.00
Atoms (fractional coordinates):
Zr 0.000 0.000 0.000
Si 0.000 0.500 0.500
Si 0.500 0.000 0.500
Ir 0.500 0.500 0.000

Calculated values
As for the space-group type: P4/mmm. Its final energy is -30.2 eV per cell.

=====

ZrSiIr: optimized geometry, GGA-PBE.

a b c (Å): 4.291 4.291 3.101
angles (deg): 90.00 90.00 120.00
Atoms (fractional coordinates):
Zr 0.000 0.000 0.000
Si 0.667 0.333 0.500
Ir 0.333 0.667 0.500

Calculated values
As for the space-group type: P-6m2. Its final energy is -25.6 eV per cell.

=====

Zr2Si2Ir: optimized geometry, GGA-PBE.

a b c (Å): 6.298 6.298 4.242
angles (deg): 90.00 90.00 90.00
Atoms (fractional coordinates):
Zr 0.169 0.331 0.000
Zr 0.331 0.831 0.000
Zr 0.669 0.169 0.000
Zr 0.831 0.669 0.000
Si 0.135 0.635 0.500
Si 0.365 0.135 0.500
Si 0.635 0.865 0.500
Si 0.865 0.365 0.500
Ir 0.000 0.000 0.500
Ir 0.500 0.500 0.500

Calculated values
As for the space-group type: P4/mbm. Its final energy is -83.9 eV per cell.

=====

ZrSi3Ir: optimized geometry, GGA-PBE.

a b c (Å): 4.889 4.889 4.889
angles (deg): 90.00 90.00 90.00
Atoms (fractional coordinates):
Zr 0.000 0.000 0.000
Si 0.000 0.000 0.500
Si 0.000 0.500 0.000
Si 0.500 0.000 0.000
Ir 0.500 0.500 0.500

Calculated values
As for the space-group type: Pm-3m. For the distance to the lowest polymorph of the same formula, the calculation gives 1060 meV/atom. Its final energy is -25.7 eV per cell.

=====

ZrSi2Ir3: optimized geometry, GGA-PBE.

a b c (Å): 8.138 8.138 9.661
angles (deg): 107.93 107.93 27.75
Atoms (fractional coordinates):
Zr 0.000 0.000 0.000
Zr 0.156 0.156 0.686
Zr 0.844 0.844 0.314
Si 0.197 0.197 0.129
Si 0.363 0.363 0.550
Si 0.459 0.459 0.220
Si 0.541 0.541 0.780
Si 0.637 0.637 0.450
Si 0.803 0.803 0.871
Ir 0.037 0.037 0.322
Ir 0.220 0.220 0.389
Ir 0.322 0.322 0.043
Ir 0.381 0.381 0.805
Ir 0.500 0.500 0.500
Ir 0.619 0.619 0.195
Ir 0.678 0.678 0.957
Ir 0.780 0.780 0.611
Ir 0.963 0.963 0.678

Calculated values
As for the space-group type: C2/m. Its final energy is -152.9 eV per cell.

=====

ZrSi2Ir: optimized geometry, GGA-PBE.

a b c (Å): 3.709 3.734 9.341
angles (deg): 90.00 90.00 90.00
Atoms (fractional coordinates):
Zr 0.000 0.000 0.000
Zr 0.500 0.500 0.500
Si 0.000 0.000 0.432
Si 0.000 0.500 0.234
Si 0.500 0.000 0.734
Si 0.500 0.500 0.932
Ir 0.000 0.500 0.752
Ir 0.500 0.000 0.252

Calculated values
As for the space-group type: Imm2. Its final energy is -60.6 eV per cell.

=====

Zr3SiIr: optimized geometry, GGA-PBE.

a b c (Å): 5.022 5.022 5.022
angles (deg): 90.00 90.00 90.00
Atoms (fractional coordinates):
Zr 0.000 0.000 0.500
Zr 0.000 0.500 0.000
Zr 0.500 0.000 0.000
Si 0.500 0.500 0.500
Ir 0.000 0.000 0.000

Calculated values
As for the space-group type: Pm-3m. For the distance to the lowest polymorph of the same formula, the calculation gives 0 meV/atom. Its final energy is -38.7 eV per cell.

=====

ZrSiIr: optimized geometry, GGA-PBE.

a b c (Å): 2.978 2.978 6.505
angles (deg): 90.00 90.00 120.00
Atoms (fractional coordinates):
Zr 0.000 0.000 0.000
Si 0.667 0.333 0.645
Ir 0.333 0.667 0.369

Calculated values
As for the space-group type: P3m1. Its final energy is -23.7 eV per cell.

=====

ZrSiIr2: optimized geometry, GGA-PBE.

a b c (Å): 5.634 9.063 2.865
angles (deg): 90.00 119.12 90.00
Atoms (fractional coordinates):
Zr 0.000 0.000 0.000
Zr 0.500 0.500 0.000
Si 0.000 0.500 0.000
Si 0.500 0.000 0.000
Ir 0.250 0.250 0.500
Ir 0.250 0.750 0.500
Ir 0.750 0.250 0.500
Ir 0.750 0.750 0.500

Calculated values
As for the space-group type: C2/m. Its final energy is -65.8 eV per cell.

=====

ZrSiIr2: optimized geometry, GGA-PBE.

a b c (Å): 4.113 4.113 3.723
angles (deg): 90.00 90.00 90.00
Atoms (fractional coordinates):
Zr 0.000 0.000 0.000
Si 0.500 0.500 0.000
Ir 0.000 0.500 0.500
Ir 0.500 0.000 0.500

Calculated values
As for the space-group type: P4/mmm. Its final energy is -34.3 eV per cell.

=====

ZrSi3Ir5: optimized geometry, GGA-PBE.

a b c (Å): 6.582 6.582 14.697
angles (deg): 90.00 90.00 154.61
Atoms (fractional coordinates):
Zr 0.193 0.807 0.750
Zr 0.807 0.193 0.250
Si 0.094 0.906 0.250
Si 0.345 0.655 0.036
Si 0.345 0.655 0.464
Si 0.655 0.345 0.536
Si 0.655 0.345 0.964
Si 0.906 0.094 0.750
Ir 0.000 0.000 0.000
Ir 0.000 0.000 0.500
Ir 0.179 0.821 0.103
Ir 0.179 0.821 0.397
Ir 0.480 0.520 0.157
Ir 0.480 0.520 0.343
Ir 0.520 0.480 0.657
Ir 0.520 0.480 0.843
Ir 0.821 0.179 0.603
Ir 0.821 0.179 0.897

Calculated values
As for the space-group type: Cmcm. Its final energy is -148.1 eV per cell.

=====

ZrSi3Ir3: optimized geometry, GGA-PBE.

a b c (Å): 6.481 6.481 6.481
angles (deg): 90.00 90.00 90.00
Atoms (fractional coordinates):
Zr 0.000 0.000 0.000
Zr 0.500 0.500 0.500
Si 0.000 0.250 0.500
Si 0.000 0.750 0.500
Si 0.250 0.500 0.000
Si 0.500 0.000 0.250
Si 0.500 0.000 0.750
Si 0.750 0.500 0.000
Ir 0.000 0.500 0.250
Ir 0.000 0.500 0.750
Ir 0.250 0.000 0.500
Ir 0.500 0.250 0.000
Ir 0.500 0.750 0.000
Ir 0.750 0.000 0.500

Calculated values
As for the space-group type: Pm-3n. Its final energy is -103.7 eV per cell.

=====

ZrSiIr2: optimized geometry, GGA-PBE.

a b c (Å): 6.358 6.358 6.358
angles (deg): 90.00 90.00 90.00
Atoms (fractional coordinates):
Zr 0.000 0.000 0.000
Zr 0.000 0.500 0.500
Zr 0.500 0.000 0.500
Zr 0.500 0.500 0.000
Si 0.250 0.250 0.750
Si 0.250 0.750 0.250
Si 0.750 0.250 0.250
Si 0.750 0.750 0.750
Ir 0.000 0.000 0.500
Ir 0.000 0.500 0.000
Ir 0.250 0.250 0.250
Ir 0.250 0.750 0.750
Ir 0.500 0.000 0.000
Ir 0.500 0.500 0.500
Ir 0.750 0.250 0.750
Ir 0.750 0.750 0.250

Calculated values
As for the space-group type: F-43m. Its final energy is -130.3 eV per cell.

=====

Zr2Si4Ir3: optimized geometry, GGA-PBE.

a b c (Å): 7.701 7.701 7.000
angles (deg): 90.00 90.00 137.97
Atoms (fractional coordinates):
Zr 0.098 0.902 0.900
Zr 0.402 0.598 0.400
Zr 0.598 0.402 0.600
Zr 0.902 0.098 0.100
Si 0.178 0.822 0.526
Si 0.187 0.313 0.750
Si 0.313 0.187 0.250
Si 0.322 0.678 0.026
Si 0.678 0.322 0.974
Si 0.687 0.813 0.750
Si 0.813 0.687 0.250
Si 0.822 0.178 0.474
Ir 0.000 0.000 0.500
Ir 0.019 0.481 0.750
Ir 0.481 0.019 0.250
Ir 0.500 0.500 0.000
Ir 0.519 0.981 0.750
Ir 0.981 0.519 0.250

Calculated values
As for the space-group type: Cmce. Its final energy is -147.5 eV per cell.

=====

ZrSiIr2: optimized geometry, GGA-PBE.

a b c (Å): 3.814 4.446 7.480
angles (deg): 90.00 90.00 90.00
Atoms (fractional coordinates):
Zr 0.000 0.000 0.000
Zr 0.500 0.500 0.500
Si 0.000 0.000 0.500
Si 0.500 0.500 0.000
Ir 0.000 0.500 0.225
Ir 0.000 0.500 0.775
Ir 0.500 0.000 0.275
Ir 0.500 0.000 0.725

Calculated values
As for the space-group type: Immm. Its final energy is -69.0 eV per cell.

=====

Zr2Si3Ir5: optimized geometry, GGA-PBE.

a b c (Å): 11.996 11.996 6.592
angles (deg): 90.00 90.00 161.05
Atoms (fractional coordinates):
Zr 0.023 0.977 0.500
Zr 0.325 0.675 0.528
Zr 0.675 0.325 0.028
Zr 0.977 0.023 0.000
Si 0.112 0.888 0.250
Si 0.267 0.733 0.042
Si 0.457 0.543 0.295
Si 0.543 0.457 0.795
Si 0.733 0.267 0.542
Si 0.888 0.112 0.750
Ir 0.097 0.903 0.861
Ir 0.207 0.793 0.336
Ir 0.207 0.793 0.752
Ir 0.373 0.627 0.047
Ir 0.444 0.556 0.666
Ir 0.556 0.444 0.166
Ir 0.627 0.373 0.547
Ir 0.793 0.207 0.252
Ir 0.793 0.207 0.836
Ir 0.903 0.097 0.361

Calculated values
As for the space-group type: Cmc2_1. Its final energy is -172.6 eV per cell.

=====

SmIr6: optimized geometry, GGA-PBE.

a b c (Å): 6.818 6.818 6.818
angles (deg): 90.00 90.00 90.00
Atoms (fractional coordinates):
Sm 0.000 0.000 0.000
Sm 0.500 0.500 0.500
Ir 0.000 0.250 0.500
Ir 0.000 0.500 0.250
Ir 0.000 0.500 0.750
Ir 0.000 0.750 0.500
Ir 0.250 0.000 0.500
Ir 0.250 0.500 0.000
Ir 0.500 0.000 0.250
Ir 0.500 0.000 0.750
Ir 0.500 0.250 0.000
Ir 0.500 0.750 0.000
Ir 0.750 0.000 0.500
Ir 0.750 0.500 0.000

Calculated values
As for the space-group type: Im-3m. The calculated formation energy comes out at 371.6 meV/atom. Its final energy is -110.6 eV per cell.